Record 1
Compound: NaF4
Source: Alexandria via LeMat-Bulk
Functional: PBE-GGA
Structure: optimized geometry

abc: 3.394 3.844 6.923
angles: 105.01 90.00 116.20
Last column: magnetic moment on the atom in μB.
Fractional positions:
Na  0.000  0.000  0.000  0.00
F  0.269  0.539  0.873  0.48
F  0.731  0.461  0.127  0.48
F  0.257  0.514  0.531  0.09
F  0.743  0.486  0.469  0.09

E_form (uncorrected): -0.905 eV/atom
DOS(E_F): 2.247 states/eV/cell
Calculated total energy: -2.6663 eV per atom
Symmetry: No. 12

Record 2
Compound: NaF3
Source: Alexandria via LeMat-Bulk
Functional: PBE-GGA
Structure: optimized geometry

abc: 3.733 5.619 4.560
angles: 128.03 114.16 90.00
Fractional positions:
Na  0.000  0.935  0.000
F  0.218  0.474  0.437
F  0.500  0.721  0.000
F  0.782  0.037  0.563

E_form (uncorrected): -1.340 eV/atom
DOS(E_F): 0.000 states/eV/cell
Calculated total energy: -3.0732 eV per atom
Symmetry: No. 44

Record 3
Compound: NaF3
Source: Alexandria via LeMat-Bulk
Functional: PBE-GGA
Structure: optimized geometry

abc: 6.077 6.077 6.077
angles: 35.06 35.06 35.06
Last column: magnetic moment on the atom in μB.
Fractional positions:
Na  0.000  0.000  0.000  0.00
F  0.500  0.500  0.500  0.89
F  0.881  0.881  0.881  0.48
F  0.119  0.119  0.119  0.48

E_form (uncorrected): -0.679 eV/atom
DOS(E_F): 1.949 states/eV/cell
Calculated total energy: -2.4121 eV per atom
Symmetry: No. 166

Record 4
Compound: NaF3
Source: Alexandria via LeMat-Bulk
Functional: PBE-GGA
Structure: optimized geometry

abc: 4.579 4.860 4.860
angles: 96.77 90.00 90.00
Last column: magnetic moment on the atom in μB.
Fractional positions:
Na  0.250  0.321  0.679  0.00
Na  0.750  0.679  0.321  0.00
F  0.250  0.805  0.195  0.75
F  0.750  0.195  0.805  0.75
F  0.250  0.825  0.599  0.54
F  0.750  0.175  0.401  0.54
F  0.750  0.599  0.825  0.54
F  0.250  0.401  0.175  0.54

E_form (uncorrected): -1.249 eV/atom
Calculated total energy: -2.9820 eV per atom
Symmetry: No. 63

Record 5
Compound: Na3F4
Source: Alexandria via LeMat-Bulk
Functional: PBE-GGA
Structure: optimized geometry

abc: 3.716 3.716 8.370
angles: 77.17 77.17 60.00
Last column: magnetic moment on the atom in μB.
Fractional positions:
Na  0.773  0.773  0.681  0.00
Na  0.227  0.227  0.319  0.00
Na  0.000  0.000  0.000  0.00
F  0.377  0.377  0.869  0.20
F  0.127  0.127  0.619  0.26
F  0.873  0.873  0.381  0.26
F  0.623  0.623  0.131  0.20

E_form (uncorrected): -2.261 eV/atom
DOS(E_F): 8.720 states/eV/cell
Calculated total energy: -3.8957 eV per atom
Symmetry: No. 166

Record 6
Compound: Na5F6
Source: Alexandria via LeMat-Bulk
Functional: PBE-GGA
Structure: optimized geometry

abc: 5.676 5.851 5.851
angles: 120.09 99.81 99.81
Last column: magnetic moment on the atom in μB.
Fractional positions:
Na  0.500  0.500  0.500  0.00
Na  0.000  0.666  0.334  0.00
Na  0.000  0.334  0.666  0.00
Na  0.500  0.846  0.154  0.00
Na  0.500  0.154  0.846  0.00
F  0.741  0.268  0.268  0.13
F  0.259  0.732  0.732  0.13
F  0.733  0.554  0.911  0.18
F  0.267  0.089  0.446  0.18
F  0.267  0.446  0.089  0.18
F  0.733  0.911  0.554  0.18

E_form (uncorrected): -2.433 eV/atom
DOS(E_F): 17.159 states/eV/cell
Calculated total energy: -4.0530 eV per atom
Symmetry: No. 12

Record 7
Compound: Na2F3
Source: Alexandria via LeMat-Bulk
Functional: PBE-GGA
Structure: optimized geometry

abc: 6.086 6.086 5.738
angles: 57.98 57.98 60.00
Last column: magnetic moment on the atom in μB.
Fractional positions:
Na  0.863  0.863  0.410  0.00
Na  0.363  0.363  0.910  0.00
Na  0.137  0.137  0.590  0.00
Na  0.637  0.637  0.090  0.00
F  0.045  0.750  0.750  0.30
F  0.750  0.455  0.750  0.30
F  0.455  0.045  0.750  0.30
F  0.250  0.545  0.250  0.30
F  0.545  0.955  0.250  0.30
F  0.955  0.250  0.250  0.30

E_form (uncorrected): -2.085 eV/atom
DOS(E_F): 14.542 states/eV/cell
Calculated total energy: -3.7350 eV per atom
Symmetry: No. 167

Record 8
Compound: NaF3
Source: Alexandria via LeMat-Bulk
Functional: PBE-GGA
Structure: optimized geometry

abc: 3.825 3.825 7.464
angles: 75.15 75.15 90.00
Last column: magnetic moment on the atom in μB.
Fractional positions:
Na  0.000  0.000  0.000  0.00
Na  0.750  0.250  0.500  0.00
F  0.500  0.500  0.000  0.72
F  0.250  0.750  0.500  0.72
F  0.612  0.125  0.250  0.58
F  0.138  0.625  0.250  0.58
F  0.375  0.388  0.750  0.55
F  0.875  0.862  0.750  0.55

E_form (uncorrected): -1.119 eV/atom
DOS(E_F): 4.169 states/eV/cell
Calculated total energy: -2.8525 eV per atom
Symmetry: No. 122

Record 9
Compound: NaNbF4
Source: Alexandria via LeMat-Bulk
Functional: PBE-GGA
Structure: optimized geometry

abc: 6.080 6.080 5.004
angles: 127.41 127.41 90.00
Last column: magnetic moment on the atom in μB.
Fractional positions:
Na  0.750  0.250  0.500  0.00
Nb  0.500  0.500  0.000  1.65
F  0.575  0.936  0.508  0.03
F  0.933  0.572  0.508  0.03
F  0.064  0.067  0.492  0.03
F  0.428  0.425  0.492  0.03

E_form (uncorrected): -2.416 eV/atom
Calculated total energy: -5.5614 eV per atom
Symmetry: No. 82

Record 10
Compound: NaNb3F
Source: Alexandria via LeMat-Bulk
Functional: PBE-GGA
Structure: optimized geometry

abc: 4.752 4.752 4.752
angles: 90.00 90.00 90.00
Fractional positions:
Na  0.000  0.000  0.000
Nb  0.000  0.500  0.000
Nb  0.000  0.000  0.500
Nb  0.500  0.000  0.000
F  0.500  0.500  0.500

E_form (uncorrected): 2.190 eV/atom
DOS(E_F): 3.791 states/eV/cell
Calculated total energy: -4.4895 eV per atom
Symmetry: No. 221

Record 11
Compound: Na3NbF8
Source: Alexandria via LeMat-Bulk
Functional: PBE-GGA
Structure: optimized geometry

abc: 5.349 5.349 5.349
angles: 90.00 90.00 90.00
Fractional positions:
Na  0.500  0.500  0.000
Na  0.500  0.000  0.500
Na  0.000  0.500  0.500
Nb  0.000  0.000  0.000
F  0.223  0.223  0.777
F  0.223  0.777  0.223
F  0.777  0.223  0.223
F  0.777  0.777  0.777
F  0.777  0.777  0.223
F  0.777  0.223  0.777
F  0.223  0.777  0.777
F  0.223  0.223  0.223

E_form (uncorrected): -2.896 eV/atom
DOS(E_F): 0.000 states/eV/cell
Calculated total energy: -5.3122 eV per atom
Symmetry: No. 221

Record 12
Compound: NaNbF5
Source: Alexandria via LeMat-Bulk
Functional: PBE-GGA
Structure: optimized geometry

abc: 5.783 5.783 8.190
angles: 69.80 69.80 72.78
Last column: magnetic moment on the atom in μB.
Fractional positions:
Na  0.501  0.499  0.250  0.00
Na  0.499  0.501  0.750  0.00
Nb  0.000  0.000  0.000  0.88
Nb  0.000  0.000  0.500  0.88
F  0.771  0.760  0.116  0.01
F  0.287  0.706  0.496  0.01
F  0.760  0.771  0.616  0.01
F  0.993  0.007  0.250  -0.01
F  0.294  0.713  0.004  0.01
F  0.706  0.287  0.996  0.01
F  0.007  0.993  0.750  -0.01
F  0.240  0.229  0.384  0.01
F  0.713  0.294  0.504  0.01
F  0.229  0.240  0.884  0.01

E_form (uncorrected): -2.923 eV/atom
DOS(E_F): 2.082 states/eV/cell
Calculated total energy: -5.8863 eV per atom
Symmetry: No. 15

Question: Among the records above, which one has the highest calculated total energy?
Answer: number 3

Question: Which of these has the lowest E_form (uncorrected)?
Answer: NaNbF5

Question: What is the E_form (uncorrected) in the ninth record?
Answer: -2.416 eV/atom

Please write out number 5 again, unchanged.
Compound: Na3F4
Source: Alexandria via LeMat-Bulk
Functional: PBE-GGA
Structure: optimized geometry

abc: 3.716 3.716 8.370
angles: 77.17 77.17 60.00
Last column: magnetic moment on the atom in μB.
Fractional positions:
Na  0.773  0.773  0.681  0.00
Na  0.227  0.227  0.319  0.00
Na  0.000  0.000  0.000  0.00
F  0.377  0.377  0.869  0.20
F  0.127  0.127  0.619  0.26
F  0.873  0.873  0.381  0.26
F  0.623  0.623  0.131  0.20

E_form (uncorrected): -2.261 eV/atom
DOS(E_F): 8.720 states/eV/cell
Calculated total energy: -3.8957 eV per atom
Symmetry: No. 166